# TlHgRh GGA-PBE relaxed
data_TlHgRh
_chemical_formula_sum 'Tl1 Hg1 Rh1'
_symmetry_space_group_name_H-M 'P 3 m 1'
_symmetry_Int_Tables_number 156
_symmetry_space_group_name_Hall 'P 3 -2"'
_cell_length_a 4.5934
_cell_length_b 4.5934
_cell_length_c 3.3962
_cell_angle_alpha 90.00
_cell_angle_beta 90.00
_cell_angle_gamma 120.00
loop_
_atom_site_label
_atom_site_fract_x
_atom_site_fract_y
_atom_site_fract_z
Tl1 0.0000 0.0000 0.0000
Hg1 0.3333 0.6667 0.4242
Rh1 0.6667 0.3333 0.7493
# - Relative energy among the computed polymorphs: 0.38 eV per formula unit

=====

Here is a relaxed structure of TlHg2Rh from the Alexandria database. Energies are from GGA-PBE.

CIF file:
```
data_TlHg2Rh
_chemical_formula_sum 'Tl1 Hg2 Rh1'
_symmetry_space_group_name_H-M 'P 4/m m m'
_symmetry_Int_Tables_number 123
_symmetry_space_group_name_Hall '-P 4 2'
_cell_length_a 3.223
_cell_length_b 3.223
_cell_length_c 8.609
_cell_angle_alpha 90.00
_cell_angle_beta 90.00
_cell_angle_gamma 90.00
loop_
_atom_site_label
_atom_site_fract_x
_atom_site_fract_y
_atom_site_fract_z
Tl1 0.000 0.000 0.000
Hg1 0.500 0.500 0.303
Rh1 0.000 0.000 0.500
```

=====

Here is a relaxed structure of TlHg2Rh from the Alexandria database. Energies are from GGA-PBE.

CIF file:
```
data_TlHg2Rh
_chemical_formula_sum 'Tl3 Hg6 Rh3'
_symmetry_space_group_name_H-M 'R -3 m'
_symmetry_Int_Tables_number 166
_symmetry_space_group_name_Hall '-R 3 2"'
_cell_length_a 3.2995
_cell_length_b 3.2995
_cell_length_c 28.5183
_cell_angle_alpha 90.00
_cell_angle_beta 90.00
_cell_angle_gamma 120.00
loop_
_atom_site_label
_atom_site_fract_x
_atom_site_fract_y
_atom_site_fract_z
Tl1 0.0000 0.0000 0.0000
Hg1 0.0000 0.0000 0.2388
Rh1 0.0000 0.0000 0.5000
```

=====

Here is a relaxed structure of TlHg2Rh from the Alexandria database. Energies are from GGA-PBE.

CIF file:
```
data_TlHg2Rh
_chemical_formula_sum 'Tl1 Hg2 Rh1'
_symmetry_space_group_name_H-M 'P 4/m m m'
_symmetry_Int_Tables_number 123
_symmetry_space_group_name_Hall '-P 4 2'
_cell_length_a 4.082
_cell_length_b 4.082
_cell_length_c 5.072
_cell_angle_alpha 90.00
_cell_angle_beta 90.00
_cell_angle_gamma 90.00
loop_
_atom_site_label
_atom_site_fract_x
_atom_site_fract_y
_atom_site_fract_z
Tl1 0.000 0.000 0.000
Hg1 0.000 0.500 0.500
Rh1 0.500 0.500 0.000
```

=====

Here is a relaxed structure of TlHg2Rh from the Alexandria database. Energies are from GGA-PBE.

CIF file:
```
data_TlHg2Rh
_chemical_formula_sum 'Tl2 Hg4 Rh2'
_symmetry_space_group_name_H-M 'I m m m'
_symmetry_Int_Tables_number 71
_symmetry_space_group_name_Hall '-I 2 2'
_cell_length_a 3.083
_cell_length_b 4.638
_cell_length_c 12.760
_cell_angle_alpha 90.00
_cell_angle_beta 90.00
_cell_angle_gamma 90.00
loop_
_atom_site_label
_atom_site_fract_x
_atom_site_fract_y
_atom_site_fract_z
Tl1 0.000 0.000 0.000
Hg1 0.000 0.500 0.191
Rh1 0.000 0.000 0.500
```

=====

Here is a relaxed structure of TlHg2Rh from the Alexandria database. Energies are from GGA-PBE.

CIF file:
```
data_TlHg2Rh
_chemical_formula_sum 'Tl2 Hg4 Rh2'
_symmetry_space_group_name_H-M 'A m m 2'
_symmetry_Int_Tables_number 38
_symmetry_space_group_name_Hall 'A 2 -2'
_cell_length_a 3.141
_cell_length_b 4.478
_cell_length_c 13.602
_cell_angle_alpha 90.00
_cell_angle_beta 90.00
_cell_angle_gamma 90.00
loop_
_atom_site_label
_atom_site_fract_x
_atom_site_fract_y
_atom_site_fract_z
Tl1 0.000 0.000 0.000
Hg1 0.000 0.000 0.692
Hg2 0.500 0.000 0.312
Rh1 0.500 0.000 0.517
```

=====

Here is a relaxed structure of TlHg2Rh from the Alexandria database. Energies are from GGA-PBE.

CIF file:
```
data_TlHg2Rh
_chemical_formula_sum 'Tl2 Hg4 Rh2'
_symmetry_space_group_name_H-M 'I m m 2'
_symmetry_Int_Tables_number 44
_symmetry_space_group_name_Hall 'I 2 -2'
_cell_length_a 3.134
_cell_length_b 4.624
_cell_length_c 13.126
_cell_angle_alpha 90.00
_cell_angle_beta 90.00
_cell_angle_gamma 90.00
loop_
_atom_site_label
_atom_site_fract_x
_atom_site_fract_y
_atom_site_fract_z
Tl1 0.000 0.000 0.000
Hg1 0.000 0.000 0.363
Hg2 0.000 0.500 0.187
Rh1 0.000 0.500 0.682
```

=====

# TlHgRh3 GGA-PBE relaxed
data_TlHgRh3
_chemical_formula_sum 'Tl1 Hg1 Rh3'
_symmetry_space_group_name_H-M 'P m -3 m'
_symmetry_Int_Tables_number 221
_symmetry_space_group_name_Hall '-P 4 2 3'
_cell_length_a 4.977
_cell_length_b 4.977
_cell_length_c 4.977
_cell_angle_alpha 90.00
_cell_angle_beta 90.00
_cell_angle_gamma 90.00
loop_
_atom_site_label
_atom_site_fract_x
_atom_site_fract_y
_atom_site_fract_z
Tl1 0.000 0.000 0.000
Hg1 0.500 0.500 0.500
Rh1 0.000 0.500 0.500
# - Relative energy among the computed polymorphs: 0.00 eV per formula unit

=====

| no. | M_tot (μB per cell) | energy relative to the elements (eV/atom) |
| --- | --- | --- |
| 1 | 0.00 | 0.2807 |
| 2 | 0.00 | 0.1444 |
| 3 | 0.00 | 0.2222 |
| 4 | 0.00 | 0.2769 |
| 5 | 0.00 | 0.0714 |
| 6 | 0.00 | 0.0800 |
| 7 | 0.00 | 0.0852 |
| 8 | 1.57 | 1.3818 |